(P)
Computed, not measured: a geometry-optimized BeTc3Ir structure at the PBE level of DFT.

abc: 4.090 4.090 4.090
angles: 90.00 90.00 90.00
Space group Pm-3m (No. 221)
One atom of each set of equivalent atoms:
Be  0.000  0.000  0.000
Tc  0.000  0.000  0.500
Ir  0.500  0.500  0.500

Properties
Crystal system: cubic
Size of the total moment in μB/f.u.: 0.00
Mass density in g cm⁻³: 12.02

=====

(Q)
Computed, not measured: a geometry-optimized BeTc3Ir structure at the PBE level of DFT.

abc: 4.682 4.682 4.682
angles: 90.00 90.00 90.00
Space group Pm-3m (No. 221)
One atom of each set of equivalent atoms:
Be  0.000  0.000  0.000
Tc  0.000  0.500  0.500
Ir  0.500  0.500  0.500

Properties
Crystal system: cubic
Size of the total moment in μB/f.u.: 1.44
Mass density in g cm⁻³: 8.01

=====

Which of them is most stable, and which least? Most stable: (P); least stable: (Q).